The following is a DFT calculation (PBE) of a geometry-optimized SmAl2Ga structure.

Cell: 6.631 6.631 6.631 Å, 100.25 100.25 100.25°
Positions (direct):
Sm1 0.328 0.328 0.328
Sm2 0.672 0.672 0.672
Sm3 0.000 0.000 0.000
Al1 0.500 0.235 0.765
Al2 0.765 0.500 0.235
Al3 0.235 0.765 0.500
Al4 0.500 0.765 0.235
Al5 0.765 0.235 0.500
Al6 0.235 0.500 0.765
Ga1 0.000 0.000 0.500
Ga2 0.000 0.500 0.000
Ga3 0.500 0.000 0.000

Calculated values
V	23.0	Å³/atom
total DFT energy (no corrections)	-15.31	eV per formula unit
calculated formation energy	-0.019	eV/atom